First-principles (GGA+U) data for an optimized crystal structure of CrHgF3, as listed in the Alexandria database.

Output
E above lowest polymorph   0.0 meV per atom
E   -4.81 eV/atom
SG   No. 148
Density of states at the Fermi level   0.369 states/eV/atom

Lattice parameters (Å, degrees): 5.2948 5.2948 8.7746 72.44 72.44 60.00
Each line ends with the local moment (μB).
Positions (direct):
Hg: 0.3367 0.3367 0.9898  0.00
F: 0.8261 0.0884 0.6278  -0.01
Hg: 0.6632 0.6632 0.0102  0.00
F: 0.4577 0.8261 0.6278  -0.01
F: 0.5423 0.1739 0.3722  -0.01
F: 0.9115 0.5423 0.3722  -0.01
F: 0.1739 0.9115 0.3722  -0.01
Cr: 0.1665 0.1665 0.5005  3.11
Cr: 0.8335 0.8335 0.4996  3.11
F: 0.0884 0.4577 0.6278  -0.01